No. 1
# SiTePt

SiTePt after structural relaxation (PBE-GGA, Alexandria).

Computed properties:
- E_tot (eV per atom) = -5.129

Cell: 3.123 3.293 12.838 Å, 90.00 90.00 90.00°
Space group Imm2 (No. 44)
Asymmetric unit:
Si  0.000  0.000  0.000 (multiplicity 2)
Te  0.000  0.000  0.207 (multiplicity 2)
Pt  0.000  0.000  0.434 (multiplicity 2)

No. 2
# Zr5Os3

Zr5Os3 after structural relaxation (PBE-GGA, Alexandria).

Computed properties:
- E_tot (eV per atom) = -9.875

Cell: 6.684 9.389 4.752 Å, 90.00 90.00 90.00°
Space group Cmmm (No. 65)
Asymmetric unit:
Zr  0.000  0.000  0.000 (multiplicity 2)
Zr  0.239  0.500  0.500 (multiplicity 4)
Zr  0.250  0.250  0.000 (multiplicity 4)
Os  0.000  0.244  0.500 (multiplicity 4)
Os  0.000  0.500  0.000 (multiplicity 2)

No. 3
# Tm3ZnPd4

Tm3ZnPd4 after structural relaxation (PBE-GGA, Alexandria).

Computed properties:
- E_tot (eV per atom) = -5.149

Cell: 3.835 6.256 14.429 Å, 90.00 90.00 90.00°
Space group Immm (No. 71)
Asymmetric unit:
Tm  0.000  0.000  0.000 (multiplicity 2)
Tm  0.000  0.500  0.196 (multiplicity 4)
Zn  0.000  0.000  0.500 (multiplicity 2)
Pd  0.000  0.285  0.376 (multiplicity 8)

No. 4
# PuGeRu2

PuGeRu2 after structural relaxation (PBE-GGA, Alexandria).

Computed properties:
- E_tot (eV per atom) = -9.509

Cell: 3.101 3.101 6.865 Å, 90.00 90.00 90.00°
Space group P4/mmm (No. 123)
Asymmetric unit:
Pu  0.000  0.000  0.000 (multiplicity 1)
Ge  0.000  0.000  0.500 (multiplicity 1)
Ru  0.500  0.500  0.291 (multiplicity 2)